DFT (PBE-GGA) results for a relaxed structure of Sm5ScCu6.

Formation energy = -0.182 eV/atom
DOS(E_F) = 14.71 states/eV/cell
Density = 7.604 Mg/m³

abc: 15.7241 6.9549 4.9544
angles: 90.00 108.28 90.00
Last column: nearest neighbours and their distance in Å.
Space group C2/m (No. 12)
Symmetry-distinct sites (fractional):
Sm1 0.0000 0.0000 0.0000  8 Cu 2.99-3.13
Sm2 0.1661 0.0000 0.6667  8 Cu 3.09-3.13
Sm3 0.1675 0.5000 0.6677  8 Cu 2.95-3.20
Sc1 0.0000 0.5000 0.0000  8 Cu 2.86-2.93
Cu1 0.0000 0.2749 0.5000  2 Sc 2.93, 6 Sm 2.95-3.13, 1 Cu 3.13
Cu2 0.1576 0.2655 0.1581  1 Sc 2.86, 7 Sm 2.97-3.20

DFT (PBE-GGA) results for a relaxed structure of SmScCuTc.

Formation energy = -0.079 eV/atom
DOS(E_F) = 13.98 states/eV/cell
Density = 7.665 Mg/m³

abc: 6.7625 6.7625 6.7625
angles: 90.00 90.00 90.00
Last column: nearest neighbours and their distance in Å.
Space group F-43m (No. 216)
Symmetry-distinct sites (fractional):
Sm1 0.0000 0.0000 0.0000  4 Tc 2.93, 4 Cu 2.93
Sc1 0.0000 0.0000 0.5000  4 Tc 2.93, 4 Cu 2.93
Cu1 0.2500 0.2500 0.2500  4 Sc 2.93, 4 Sm 2.93
Tc1 0.2500 0.2500 0.7500  4 Sc 2.93, 4 Sm 2.93

What is the DOS(E_F) in the first record? 14.71 states/eV/cell

The lowest DOS(E_F) belongs to which entry? SmScCuTc

Among the records above, which one has the lowest DOS(E_F)? SmScCuTc

Look up the DOS(E_F) of the first one. 14.71 states/eV/cell